1.
Compound: LiGa2Bi
Source: Alexandria
Functional: PBE-GGA
Structure: relaxed

The structure in POSCAR format:
```
LiGa2Bi
1.0
3.926 0.000 0.000
0.000 3.926 0.000
0.000 0.000 5.782
Li Ga Bi
1 2 1
direct
0.000 0.000 0.000 Li
0.500 0.500 0.239 Ga
0.500 0.500 0.761 Ga
0.000 0.000 0.500 Bi
```

Summary:
formation enthalpy at 0 K = -0.07 eV per atom

2.
Compound: FeIr2Au
Source: Alexandria
Functional: PBE-GGA
Structure: relaxed

The structure in POSCAR format:
```
FeIr2Au
1.0
1.379 0.796 9.021
-1.379 0.796 9.021
0.000 -1.593 9.021
Fe Ir Au
1 2 1
direct
0.000 0.000 0.000 Fe
0.259 0.259 0.259 Ir
0.741 0.741 0.741 Ir
0.500 0.500 0.500 Au
```

Summary:
formation enthalpy at 0 K = 0.13 eV per atom
energy above the most stable polymorph in this dataset = 0.0 meV/atom

3.
Compound: La15Pm4Al
Source: Alexandria
Functional: PBE-GGA
Structure: relaxed

The structure in POSCAR format:
```
La15Pm4Al
1.0
5.178 0.000 0.000
0.000 5.178 0.000
0.000 0.000 26.095
La Pm Al
15 4 1
direct
0.000 0.000 0.000 La
0.000 0.000 0.196 La
0.000 0.000 0.399 La
0.000 0.000 0.601 La
0.000 0.000 0.804 La
0.000 0.500 0.093 La
0.000 0.500 0.296 La
0.000 0.500 0.500 La
0.000 0.500 0.704 La
0.000 0.500 0.907 La
0.500 0.000 0.093 La
0.500 0.000 0.296 La
0.500 0.000 0.500 La
0.500 0.000 0.704 La
0.500 0.000 0.907 La
0.500 0.500 0.195 Pm
0.500 0.500 0.399 Pm
0.500 0.500 0.601 Pm
0.500 0.500 0.805 Pm
0.500 0.500 0.000 Al
```

Summary:
formation enthalpy at 0 K = -0.02 eV per atom

4.
Compound: Pm4Sn5Pb
Source: Alexandria
Functional: PBE-GGA
Structure: relaxed

The structure in POSCAR format:
```
Pm4Sn5Pb
1.0
4.151 0.000 0.000
0.000 4.151 0.000
0.000 0.000 16.560
Pm Sn Pb
4 5 1
direct
0.000 0.000 0.102 Pm
0.000 0.000 0.307 Pm
0.000 0.000 0.693 Pm
0.000 0.000 0.898 Pm
0.500 0.500 0.000 Sn
0.500 0.500 0.202 Sn
0.500 0.500 0.401 Sn
0.500 0.500 0.599 Sn
0.500 0.500 0.798 Sn
0.000 0.000 0.500 Pb
```

Summary:
formation enthalpy at 0 K = -0.52 eV per atom

5.
Compound: AgI2Br2
Source: Alexandria
Functional: PBE-GGA
Structure: relaxed

The structure in POSCAR format:
```
AgI2Br2
1.0
7.011 0.000 0.000
0.000 7.011 0.000
0.000 0.000 8.583
Ag I Br
2 4 4
direct
0.000 0.000 0.000 Ag
0.500 0.500 0.000 Ag
0.138 0.362 0.500 I
0.362 0.862 0.500 I
0.638 0.138 0.500 I
0.862 0.638 0.500 I
0.167 0.667 0.000 Br
0.333 0.167 0.000 Br
0.667 0.833 0.000 Br
0.833 0.333 0.000 Br
```

Summary:
uncorrected formation energy = -0.67 kcal/mol of atoms
energy above the most stable polymorph in this dataset = 0.0 meV/atom

6.
Compound: SiTc2C
Source: Alexandria
Functional: PBE-GGA
Structure: relaxed

The structure in POSCAR format:
```
SiTc2C
1.0
0.000 2.863 2.863
2.863 0.000 2.863
2.863 2.863 0.000
Si Tc C
1 2 1
direct
0.000 0.000 0.000 Si
0.250 0.250 0.250 Tc
0.750 0.750 0.750 Tc
0.500 0.500 0.500 C
```

Summary:
uncorrected formation energy = 13.78 kcal/mol of atoms
energy above the most stable polymorph in this dataset = 397.6 meV/atom

Number 1: total moment 0.000 μB per cell, theoretical density 6.62 g cm⁻³. Number 2: total moment 3.133 μB per cell, theoretical density 17.79 g cm⁻³. Number 3: total moment 0.000 μB per cell, theoretical density 6.39 g cm⁻³. Number 4: total moment 0.175 μB per cell, theoretical density 8.03 g cm⁻³. Number 5: total moment 0.000 μB per cell, theoretical density 4.11 g cm⁻³. Number 6: total moment 0.000 μB per cell, theoretical density 8.36 g cm⁻³.